A geometry-optimized PaP3Rh2 structure. Source: Alexandria, functional PBE-GGA.

Cell lengths 4.6273, 11.8322, 3.7570 Å; angles 90.00, 90.00, 90.00 degrees
Closest atoms and distances in Å follow each position.
Positions (direct):
Pa1 0.2500 0.2500 0.1808  8 P 2.83-3.03
Pa2 0.7500 0.7500 0.8192  8 P 2.83-3.03
P1 0.2500 0.0711 0.6804  4 Rh 2.33-2.39
P2 0.2500 0.4289 0.6804  4 Rh 2.33-2.39
P3 0.2500 0.7500 0.2965  2 Rh 2.46
P4 0.7500 0.2500 0.7035  2 Rh 2.46
P5 0.7500 0.5711 0.3196  4 Rh 2.33-2.39
P6 0.7500 0.9289 0.3196  4 Rh 2.33-2.39
Rh1 0.2500 0.5449 0.1810  5 P 2.33-2.46
Rh2 0.2500 0.9551 0.1810  5 P 2.33-2.46
Rh3 0.7500 0.0449 0.8190  5 P 2.33-2.46
Rh4 0.7500 0.4551 0.8190  5 P 2.33-2.46

Summary:
- formation energy from the elements (eV/atom) = -0.759
- calculated density (g cm⁻³) = 8.55